Record 1
# LaSc2Ga2 (PBE, relaxed)
data_LaSc2Ga2
_chemical_formula_sum 'La2 Sc4 Ga4'
_symmetry_space_group_name_H-M 'P 4/m b m'
_symmetry_Int_Tables_number 127
_symmetry_space_group_name_Hall '-P 4 2ab'
_cell_length_a 8.4352
_cell_length_b 8.4352
_cell_length_c 3.1210
_cell_angle_alpha 90.00
_cell_angle_beta 90.00
_cell_angle_gamma 90.00
loop_
_atom_site_label
_atom_site_fract_x
_atom_site_fract_y
_atom_site_fract_z
La1 0.0000 0.0000 0.0000
Sc1 0.1266 0.3734 0.0000
Ga1 0.1707 0.6707 0.5000
# - Crystal system: tetragonal
# - M_tot: 0.01 μB per formula unit
# - Total energy: -5.18 eV per atom
# - DFT formation energy: -452 meV per atom



Record 2
# La2ScGa2 (PBE, relaxed)
data_La2ScGa2
_chemical_formula_sum 'La4 Sc2 Ga4'
_symmetry_space_group_name_H-M 'P 4/m b m'
_symmetry_Int_Tables_number 127
_symmetry_space_group_name_Hall '-P 4 2ab'
_cell_length_a 7.6594
_cell_length_b 7.6594
_cell_length_c 4.6178
_cell_angle_alpha 90.00
_cell_angle_beta 90.00
_cell_angle_gamma 90.00
loop_
_atom_site_label
_atom_site_fract_x
_atom_site_fract_y
_atom_site_fract_z
La1 0.1737 0.3263 0.0000
Sc1 0.0000 0.0000 0.5000
Ga1 0.1238 0.6238 0.5000
# - Crystal system: tetragonal
# - M_tot: 0.00 μB per formula unit
# - Total energy: -4.94 eV per atom
# - DFT formation energy: -490 meV per atom



Record 3
# LaSc3Ga (PBE, relaxed)
data_LaSc3Ga
_chemical_formula_sum 'La1 Sc3 Ga1'
_symmetry_space_group_name_H-M 'P m -3 m'
_symmetry_Int_Tables_number 221
_symmetry_space_group_name_Hall '-P 4 2 3'
_cell_length_a 5.2181
_cell_length_b 5.2181
_cell_length_c 5.2181
_cell_angle_alpha 90.00
_cell_angle_beta 90.00
_cell_angle_gamma 90.00
loop_
_atom_site_label
_atom_site_fract_x
_atom_site_fract_y
_atom_site_fract_z
La1 0.0000 0.0000 0.0000
Sc1 0.0000 0.5000 0.5000
Ga1 0.5000 0.5000 0.5000
# - Crystal system: cubic
# - M_tot: 0.00 μB per formula unit
# - Total energy: -5.34 eV per atom
# - DFT formation energy: 52 meV per atom



Record 4
# La2ScGa (PBE, relaxed)
data_La2ScGa
_chemical_formula_sum 'La4 Sc2 Ga2'
_symmetry_space_group_name_H-M 'P 1 21/m 1'
_symmetry_Int_Tables_number 11
_cell_length_a 6.6267
_cell_length_b 5.1742
_cell_length_c 6.8676
_cell_angle_alpha 90.00
_cell_angle_beta 109.02
_cell_angle_gamma 90.00
loop_
_symmetry_equiv_pos_as_xyz
'x,y,z'
'-x,-y,-z'
'-x,y+1/2,-z'
'x,-y+1/2,z'
loop_
_atom_site_label
_atom_site_fract_x
_atom_site_fract_y
_atom_site_fract_z
La1 0.1158 0.2500 0.3750
La2 0.3474 0.7500 0.2369
Sc1 0.2255 0.2500 0.9003
Ga1 0.3790 0.7500 0.7395
# - Crystal system: monoclinic
# - M_tot: 0.00 μB per formula unit
# - Total energy: -5.10 eV per atom
# - DFT formation energy: -297 meV per atom



Record 5
# LaScGa (PBE, relaxed)
data_LaScGa
_chemical_formula_sum 'La4 Sc4 Ga4'
_symmetry_space_group_name_H-M 'A m m 2'
_symmetry_Int_Tables_number 38
_cell_length_a 4.6717
_cell_length_b 11.0065
_cell_length_c 5.9603
_cell_angle_alpha 90.00
_cell_angle_beta 90.00
_cell_angle_gamma 90.00
loop_
_symmetry_equiv_pos_as_xyz
'x,y,z'
'-x,-y,z'
'-x,y,z'
'x,-y,z'
'x,y+1/2,z+1/2'
'-x,-y+1/2,z+1/2'
'-x,y+1/2,z+1/2'
'x,-y+1/2,z+1/2'
loop_
_atom_site_label
_atom_site_fract_x
_atom_site_fract_y
_atom_site_fract_z
La1 0.0000 0.0000 0.0000
La2 0.5000 0.0000 0.4086
Sc1 0.0000 0.2012 0.5914
Ga1 0.5000 0.2003 0.8646
# - Crystal system: orthorhombic
# - M_tot: 0.00 μB per formula unit
# - Total energy: -5.11 eV per atom
# - DFT formation energy: -348 meV per atom



Record 6
# LaSc2Ga2 (PBE, relaxed)
data_LaSc2Ga2
_chemical_formula_sum 'La2 Sc4 Ga4'
_symmetry_space_group_name_H-M 'I 4/m m m'
_symmetry_Int_Tables_number 139
_symmetry_space_group_name_Hall '-I 4 2'
_cell_length_a 4.7610
_cell_length_b 4.7610
_cell_length_c 11.2312
_cell_angle_alpha 90.00
_cell_angle_beta 90.00
_cell_angle_gamma 90.00
loop_
_atom_site_label
_atom_site_fract_x
_atom_site_fract_y
_atom_site_fract_z
La1 0.0000 0.0000 0.0000
Sc1 0.0000 0.0000 0.3598
Ga1 0.0000 0.5000 0.2500
# - Crystal system: tetragonal
# - M_tot: 0.00 μB per formula unit
# - Total energy: -5.00 eV per atom
# - DFT formation energy: -270 meV per atom



Record 7
# LaSc2Ga2 (PBE, relaxed)
data_LaSc2Ga2
_chemical_formula_sum 'La2 Sc4 Ga4'
_symmetry_space_group_name_H-M 'I 4/m m m'
_symmetry_Int_Tables_number 139
_symmetry_space_group_name_Hall '-I 4 2'
_cell_length_a 4.4367
_cell_length_b 4.4367
_cell_length_c 12.3404
_cell_angle_alpha 90.00
_cell_angle_beta 90.00
_cell_angle_gamma 90.00
loop_
_atom_site_label
_atom_site_fract_x
_atom_site_fract_y
_atom_site_fract_z
La1 0.0000 0.0000 0.0000
Sc1 0.0000 0.5000 0.2500
Ga1 0.0000 0.0000 0.3972
# - Crystal system: tetragonal
# - M_tot: 0.00 μB per formula unit
# - Total energy: -5.23 eV per atom
# - DFT formation energy: -501 meV per atom



Record 8
# La2ScGa (PBE, relaxed)
data_La2ScGa
_chemical_formula_sum 'La2 Sc1 Ga1'
_symmetry_space_group_name_H-M 'P 4/m m m'
_symmetry_Int_Tables_number 123
_symmetry_space_group_name_Hall '-P 4 2'
_cell_length_a 4.7484
_cell_length_b 4.7484
_cell_length_c 4.8275
_cell_angle_alpha 90.00
_cell_angle_beta 90.00
_cell_angle_gamma 90.00
loop_
_atom_site_label
_atom_site_fract_x
_atom_site_fract_y
_atom_site_fract_z
La1 0.0000 0.5000 0.0000
Sc1 0.0000 0.0000 0.5000
Ga1 0.5000 0.5000 0.5000
# - Crystal system: tetragonal
# - M_tot: 0.00 μB per formula unit
# - Total energy: -5.04 eV per atom
# - DFT formation energy: -233 meV per atom



Record 9
# LaScGa2 (PBE, relaxed)
data_LaScGa2
_chemical_formula_sum 'La4 Sc4 Ga8'
_symmetry_space_group_name_H-M 'I -4 2 d'
_symmetry_Int_Tables_number 122
_symmetry_space_group_name_Hall 'I -4 2bw'
_cell_length_a 7.9593
_cell_length_b 7.9593
_cell_length_c 6.4166
_cell_angle_alpha 90.00
_cell_angle_beta 90.00
_cell_angle_gamma 90.00
loop_
_atom_site_label
_atom_site_fract_x
_atom_site_fract_y
_atom_site_fract_z
La1 0.0000 0.0000 0.0000
Sc1 0.0000 0.0000 0.5000
Ga1 0.2185 0.2500 0.6250
# - Crystal system: tetragonal
# - M_tot: 0.00 μB per formula unit
# - Total energy: -4.53 eV per atom
# - DFT formation energy: -200 meV per atom



Record 10
# LaScGa (PBE, relaxed)
data_LaScGa
_chemical_formula_sum 'La1 Sc1 Ga1'
_symmetry_space_group_name_H-M 'P 3 m 1'
_symmetry_Int_Tables_number 156
_cell_length_a 4.8109
_cell_length_b 4.8109
_cell_length_c 4.0248
_cell_angle_alpha 90.00
_cell_angle_beta 90.00
_cell_angle_gamma 120.00
loop_
_symmetry_equiv_pos_as_xyz
'x,y,z'
'-y,x-y,z'
'-x+y,-x,z'
'-y,-x,z'
'-x+y,y,z'
'x,x-y,z'
loop_
_atom_site_label
_atom_site_fract_x
_atom_site_fract_y
_atom_site_fract_z
La1 0.0000 0.0000 0.0000
Sc1 0.6667 0.3333 0.4996
Ga1 0.3333 0.6667 0.5015
# - Crystal system: trigonal
# - M_tot: 0.00 μB per formula unit
# - Total energy: -5.08 eV per atom
# - DFT formation energy: -322 meV per atom



Record 11
# La5ScGa4 (PBE, relaxed)
data_La5ScGa4
_chemical_formula_sum 'La10 Sc2 Ga8'
_symmetry_space_group_name_H-M 'C 1 2/m 1'
_symmetry_Int_Tables_number 12
_cell_length_a 16.6370
_cell_length_b 4.2244
_cell_length_c 8.3691
_cell_angle_alpha 90.00
_cell_angle_beta 98.76
_cell_angle_gamma 90.00
loop_
_symmetry_equiv_pos_as_xyz
'x,y,z'
'-x,-y,-z'
'-x,y,-z'
'x,-y,z'
'x+1/2,y+1/2,z'
'-x+1/2,-y+1/2,-z'
'-x+1/2,y+1/2,-z'
'x+1/2,-y+1/2,z'
loop_
_atom_site_label
_atom_site_fract_x
_atom_site_fract_y
_atom_site_fract_z
La1 0.0000 0.0000 0.0000
La2 0.1678 0.5000 0.6229
La3 0.1784 0.5000 0.0822
Sc1 0.0000 0.0000 0.5000
Ga1 0.0275 0.5000 0.2818
Ga2 0.1364 0.0000 0.3354
# - Crystal system: monoclinic
# - M_tot: 0.00 μB per formula unit
# - Total energy: -4.68 eV per atom
# - DFT formation energy: -373 meV per atom



Record 12
# LaScGa (PBE, relaxed)
data_LaScGa
_chemical_formula_sum 'La4 Sc4 Ga4'
_symmetry_space_group_name_H-M 'C m c 21'
_symmetry_Int_Tables_number 36
_cell_length_a 4.2225
_cell_length_b 11.8022
_cell_length_c 6.4666
_cell_angle_alpha 90.00
_cell_angle_beta 90.00
_cell_angle_gamma 90.00
loop_
_symmetry_equiv_pos_as_xyz
'x,y,z'
'-x,-y,z+1/2'
'-x,y,z'
'x,-y,z+1/2'
'x+1/2,y+1/2,z'
'-x+1/2,-y+1/2,z+1/2'
'-x+1/2,y+1/2,z'
'x+1/2,-y+1/2,z+1/2'
loop_
_atom_site_label
_atom_site_fract_x
_atom_site_fract_y
_atom_site_fract_z
La1 0.0000 0.2064 0.0000
Sc1 0.0000 0.5004 0.2515
Ga1 0.0000 0.0925 0.5017
# - Crystal system: orthorhombic
# - M_tot: 0.74 μB per formula unit
# - Total energy: -5.16 eV per atom
# - DFT formation energy: -395 meV per atom



Record 13
# La4ScGa5 (PBE, relaxed)
data_La4ScGa5
_chemical_formula_sum 'La4 Sc1 Ga5'
_symmetry_space_group_name_H-M 'P 4/m m m'
_symmetry_Int_Tables_number 123
_symmetry_space_group_name_Hall '-P 4 2'
_cell_length_a 3.6404
_cell_length_b 3.6404
_cell_length_c 18.9637
_cell_angle_alpha 90.00
_cell_angle_beta 90.00
_cell_angle_gamma 90.00
loop_
_atom_site_label
_atom_site_fract_x
_atom_site_fract_y
_atom_site_fract_z
La1 0.0000 0.0000 0.1049
La2 0.0000 0.0000 0.3139
Sc1 0.0000 0.0000 0.5000
Ga1 0.5000 0.5000 0.0000
Ga2 0.5000 0.5000 0.2102
Ga3 0.5000 0.5000 0.4233
# - Crystal system: tetragonal
# - M_tot: 0.00 μB per formula unit
# - Total energy: -4.69 eV per atom
# - DFT formation energy: -568 meV per atom



Record 14
# LaSc4Ga4 (PBE, relaxed)
data_LaSc4Ga4
_chemical_formula_sum 'La2 Sc8 Ga8'
_symmetry_space_group_name_H-M 'P 42/n'
_symmetry_Int_Tables_number 86
_cell_length_a 8.8890
_cell_length_b 8.8890
_cell_length_c 5.2919
_cell_angle_alpha 90.00
_cell_angle_beta 90.00
_cell_angle_gamma 90.00
loop_
_symmetry_equiv_pos_as_xyz
'x,y,z'
'-x,-y,-z'
'-y,x+1/2,z+1/2'
'y,-x+1/2,-z+1/2'
'-x+1/2,-y+1/2,z'
'x+1/2,y+1/2,-z'
'y+1/2,-x,z+1/2'
'-y+1/2,x,-z+1/2'
loop_
_atom_site_label
_atom_site_fract_x
_atom_site_fract_y
_atom_site_fract_z
La1 0.2500 0.2500 0.2500
Sc1 0.1087 0.8428 0.6334
Ga1 0.0030 0.8832 0.1439
# - Crystal system: tetragonal
# - M_tot: 0.00 μB per formula unit
# - Total energy: -5.06 eV per atom
# - DFT formation energy: -355 meV per atom



Record 15
# La2Sc3Ga4 (PBE, relaxed)
data_La2Sc3Ga4
_chemical_formula_sum 'La8 Sc12 Ga16'
_symmetry_space_group_name_H-M 'C m c e'
_symmetry_Int_Tables_number 64
_symmetry_space_group_name_Hall '-C 2ac 2'
_cell_length_a 6.5829
_cell_length_b 15.7615
_cell_length_c 8.3316
_cell_angle_alpha 90.00
_cell_angle_beta 90.00
_cell_angle_gamma 90.00
loop_
_atom_site_label
_atom_site_fract_x
_atom_site_fract_y
_atom_site_fract_z
La1 0.0000 0.1105 0.0803
Sc1 0.0000 0.0000 0.5000
Sc2 0.2500 0.2157 0.7500
Ga1 0.0000 0.1840 0.4608
Ga2 0.2500 0.0401 0.7500
# - Crystal system: orthorhombic
# - M_tot: 0.00 μB per formula unit
# - Total energy: -5.02 eV per atom
# - DFT formation energy: -471 meV per atom



Record 16
# LaScGa2 (PBE, relaxed)
data_LaScGa2
_chemical_formula_sum 'La4 Sc4 Ga8'
_symmetry_space_group_name_H-M 'F m -3 m'
_symmetry_Int_Tables_number 225
_symmetry_space_group_name_Hall '-F 4 2 3'
_cell_length_a 7.1618
_cell_length_b 7.1618
_cell_length_c 7.1618
_cell_angle_alpha 90.00
_cell_angle_beta 90.00
_cell_angle_gamma 90.00
loop_
_atom_site_label
_atom_site_fract_x
_atom_site_fract_y
_atom_site_fract_z
La1 0.0000 0.0000 0.0000
Sc1 0.0000 0.0000 0.5000
Ga1 0.2500 0.2500 0.2500
# - Crystal system: cubic
# - M_tot: 0.00 μB per formula unit
# - Total energy: -4.87 eV per atom
# - DFT formation energy: -546 meV per atom



Record 17
# La2ScGa2 (PBE, relaxed)
data_La2ScGa2
_chemical_formula_sum 'La8 Sc4 Ga8'
_symmetry_space_group_name_H-M 'C 1 2/m 1'
_symmetry_Int_Tables_number 12
_cell_length_a 11.8954
_cell_length_b 4.6281
_cell_length_c 11.3445
_cell_angle_alpha 90.00
_cell_angle_beta 119.85
_cell_angle_gamma 90.00
loop_
_symmetry_equiv_pos_as_xyz
'x,y,z'
'-x,-y,-z'
'-x,y,-z'
'x,-y,z'
'x+1/2,y+1/2,z'
'-x+1/2,-y+1/2,-z'
'-x+1/2,y+1/2,-z'
'x+1/2,-y+1/2,z'
loop_
_atom_site_label
_atom_site_fract_x
_atom_site_fract_y
_atom_site_fract_z
La1 0.0194 0.0000 0.1840
La2 0.1864 0.0000 0.6059
Sc1 0.2172 0.5000 0.8759
Ga1 0.0158 0.5000 0.3922
Ga2 0.1292 0.5000 0.0663
# - Crystal system: monoclinic
# - M_tot: 0.00 μB per formula unit
# - Total energy: -4.94 eV per atom
# - DFT formation energy: -496 meV per atom



Record 18
# LaScGa2 (PBE, relaxed)
data_LaScGa2
_chemical_formula_sum 'La1 Sc1 Ga2'
_symmetry_space_group_name_H-M 'P 4/m m m'
_symmetry_Int_Tables_number 123
_symmetry_space_group_name_Hall '-P 4 2'
_cell_length_a 3.5528
_cell_length_b 3.5528
_cell_length_c 7.1677
_cell_angle_alpha 90.00
_cell_angle_beta 90.00
_cell_angle_gamma 90.00
loop_
_atom_site_label
_atom_site_fract_x
_atom_site_fract_y
_atom_site_fract_z
La1 0.0000 0.0000 0.0000
Sc1 0.0000 0.0000 0.5000
Ga1 0.5000 0.5000 0.2907
# - Crystal system: tetragonal
# - M_tot: 0.00 μB per formula unit
# - Total energy: -4.92 eV per atom
# - DFT formation energy: -588 meV per atom



Record 19
# La2ScGa (PBE, relaxed)
data_La2ScGa
_chemical_formula_sum 'La2 Sc1 Ga1'
_symmetry_space_group_name_H-M 'P 4/m m m'
_symmetry_Int_Tables_number 123
_symmetry_space_group_name_Hall '-P 4 2'
_cell_length_a 4.0444
_cell_length_b 4.0444
_cell_length_c 6.9576
_cell_angle_alpha 90.00
_cell_angle_beta 90.00
_cell_angle_gamma 90.00
loop_
_atom_site_label
_atom_site_fract_x
_atom_site_fract_y
_atom_site_fract_z
La1 0.0000 0.0000 0.2283
Sc1 0.5000 0.5000 0.5000
Ga1 0.5000 0.5000 0.0000
# - Crystal system: tetragonal
# - M_tot: 0.00 μB per formula unit
# - Total energy: -5.01 eV per atom
# - DFT formation energy: -208 meV per atom



Record 20
# La2Sc3Ga4 (PBE, relaxed)
data_La2Sc3Ga4
_chemical_formula_sum 'La4 Sc6 Ga8'
_symmetry_space_group_name_H-M 'P 1 21/c 1'
_symmetry_Int_Tables_number 14
_cell_length_a 7.7797
_cell_length_b 7.7323
_cell_length_c 7.5037
_cell_angle_alpha 90.00
_cell_angle_beta 108.06
_cell_angle_gamma 90.00
loop_
_symmetry_equiv_pos_as_xyz
'x,y,z'
'-x,-y,-z'
'-x,y+1/2,-z+1/2'
'x,-y+1/2,z+1/2'
loop_
_atom_site_label
_atom_site_fract_x
_atom_site_fract_y
_atom_site_fract_z
La1 0.1912 0.1734 0.0719
Sc1 0.2510 0.6739 0.2497
Sc2 0.5000 0.0000 0.5000
Ga1 0.0825 0.5399 0.8723
Ga2 0.4998 0.1204 0.8721
# - Crystal system: monoclinic
# - M_tot: 0.00 μB per formula unit
# - Total energy: -5.14 eV per atom
# - DFT formation energy: -590 meV per atom